[1]
Density functional theory data (PBE) for an optimized crystal structure of RbAg.

Calculated values
- formation enthalpy at 0 K (eV per atom) = 0.192

abc: 6.2345 6.2345 7.2957
angles: 90.00 90.00 120.00
With the nearest neighbours (Å) after each atom.
Element x y z (fractional)
Rb 0.3333 0.6667 0.2500  5 Ag 3.60-3.65
Rb 0.6667 0.3333 0.7500  5 Ag 3.60-3.65
Ag 0.3333 0.6667 0.7500  5 Rb 3.60-3.65
Ag 0.6667 0.3333 0.2500  5 Rb 3.60-3.65



[2]
Density functional theory data (PBE) for an optimized crystal structure of Rb3Ag.

Calculated values
- ΔE to the lowest computed polymorph (meV/atom) = 52.4
- formation enthalpy at 0 K (eV per atom) = 0.096

abc: 4.7618 4.7049 12.3889
angles: 90.00 90.00 90.00
With the nearest neighbours (Å) after each atom.
Element x y z (fractional)
Rb 0.0000 0.5000 0.4559  10 Rb 4.70-5.17
Rb 0.5000 0.5000 0.1097  4 Ag 3.64
Rb 0.5000 0.0000 0.7735  2 Ag 3.63
Ag 0.0000 0.0000 0.9942  6 Rb 3.63-3.64



[3]
Density functional theory data (PBE) for an optimized crystal structure of Rb2Ag.

Calculated values
- ΔE to the lowest computed polymorph (meV/atom) = 42.7
- formation enthalpy at 0 K (eV per atom) = 0.069

abc: 4.4379 4.4379 8.9667
angles: 104.49 104.49 89.93
With the nearest neighbours (Å) after each atom.
Element x y z (fractional)
Rb 0.1236 0.1236 0.2459  4 Ag 3.75-3.76, 1 Rb 4.13
Rb 0.8764 0.8764 0.7541  4 Ag 3.75-3.76, 1 Rb 4.13
Ag 0.5000 0.5000 0.0000  8 Rb 3.75-3.76



[4]
Density functional theory data (PBE) for an optimized crystal structure of RbAg6.

Calculated values
- ΔE to the lowest computed polymorph (meV/atom) = 250.8
- formation enthalpy at 0 K (eV per atom) = 0.357

abc: 6.5984 6.5984 6.5984
angles: 109.47 109.47 109.47
With the nearest neighbours (Å) after each atom.
Element x y z (fractional)
Rb 0.0000 0.0000 0.0000  24 Ag 4.26
Ag 0.2500 0.7500 0.5000  4 Ag 2.69
Ag 0.5000 0.7500 0.2500  4 Ag 2.69
Ag 0.2500 0.5000 0.7500  4 Ag 2.69
Ag 0.7500 0.2500 0.5000  4 Ag 2.69
Ag 0.5000 0.2500 0.7500  4 Ag 2.69
Ag 0.7500 0.5000 0.2500  4 Ag 2.69



[5]
Density functional theory data (PBE) for an optimized crystal structure of RbAg2.

Calculated values
- formation enthalpy at 0 K (eV per atom) = 0.146

abc: 3.8911 3.8911 6.7301
angles: 106.80 106.80 90.00
With the nearest neighbours (Å) after each atom.
Element x y z (fractional)
Rb 0.0000 0.0000 0.0000  2 Ag 3.35
Ag 0.7275 0.7276 0.4551  4 Ag 2.81
Ag 0.2725 0.2725 0.5449  4 Ag 2.81



[6]
Density functional theory data (PBE) for an optimized crystal structure of RbAg.

Calculated values
- formation enthalpy at 0 K (eV per atom) = 0.137

abc: 6.4751 17.8533 10.4309
angles: 90.00 90.00 90.00
With the nearest neighbours (Å) after each atom.
Element x y z (fractional)
Rb 0.0000 0.0000 0.6699  3 Rb 3.54-3.64, 8 Ag 3.55-3.95
Rb 0.0000 0.0000 0.3301  3 Rb 3.54-3.64, 8 Ag 3.55-3.95
Rb 0.2500 0.7500 0.5801  3 Rb 3.54-3.64, 8 Ag 3.55-3.95
Rb 0.2500 0.7500 0.9199  3 Rb 3.54-3.64, 8 Ag 3.55-3.95
Rb 0.0000 0.5000 0.1699  3 Rb 3.54-3.64, 8 Ag 3.55-3.95
Rb 0.0000 0.5000 0.8301  3 Rb 3.54-3.64, 8 Ag 3.55-3.95
Rb 0.2500 0.2500 0.0801  3 Rb 3.54-3.64, 8 Ag 3.55-3.95
Rb 0.2500 0.2500 0.4199  3 Rb 3.54-3.64, 8 Ag 3.55-3.95
Rb 0.5000 0.0000 0.1699  3 Rb 3.54-3.64, 8 Ag 3.55-3.95
Rb 0.5000 0.0000 0.8301  3 Rb 3.54-3.64, 8 Ag 3.55-3.95
Rb 0.7500 0.7500 0.0801  3 Rb 3.54-3.64, 8 Ag 3.55-3.95
Rb 0.7500 0.7500 0.4199  3 Rb 3.54-3.64, 8 Ag 3.55-3.95
Rb 0.5000 0.5000 0.6699  3 Rb 3.54-3.64, 8 Ag 3.55-3.95
Rb 0.5000 0.5000 0.3301  3 Rb 3.54-3.64, 8 Ag 3.55-3.95
Rb 0.7500 0.2500 0.5801  3 Rb 3.54-3.64, 8 Ag 3.55-3.95
Rb 0.7500 0.2500 0.9199  3 Rb 3.54-3.64, 8 Ag 3.55-3.95
Ag 0.0000 0.0790 0.0000  1 Ag 2.82
Ag 0.0000 0.9210 0.0000  1 Ag 2.82
Ag 0.2500 0.6710 0.2500  1 Ag 2.82
Ag 0.2500 0.8290 0.2500  1 Ag 2.82
Ag 0.0000 0.5790 0.5000  1 Ag 2.82
Ag 0.0000 0.4210 0.5000  1 Ag 2.82
Ag 0.2500 0.1710 0.7500  1 Ag 2.82
Ag 0.2500 0.3290 0.7500  1 Ag 2.82
Ag 0.5000 0.0790 0.5000  1 Ag 2.82
Ag 0.5000 0.9210 0.5000  1 Ag 2.82
Ag 0.7500 0.6710 0.7500  1 Ag 2.82
Ag 0.7500 0.8290 0.7500  1 Ag 2.82
Ag 0.5000 0.5790 0.0000  1 Ag 2.82
Ag 0.5000 0.4210 0.0000  1 Ag 2.82
Ag 0.7500 0.1710 0.2500  1 Ag 2.82
Ag 0.7500 0.3290 0.2500  1 Ag 2.82



[7]
Density functional theory data (PBE) for an optimized crystal structure of RbAg.

Calculated values
- formation enthalpy at 0 K (eV per atom) = 0.046

abc: 5.1406 5.0409 6.8813
angles: 90.00 111.98 90.00
With the nearest neighbours (Å) after each atom.
Element x y z (fractional)
Rb 0.6447 0.2500 0.2891  7 Ag 3.59-3.87
Rb 0.3553 0.7500 0.7109  7 Ag 3.59-3.87
Ag 0.9468 0.2500 0.8950  2 Ag 2.85
Ag 0.0532 0.7500 0.1050  2 Ag 2.85



[8]
Density functional theory data (PBE) for an optimized crystal structure of RbAg2.

Calculated values
- formation enthalpy at 0 K (eV per atom) = 0.089

abc: 6.1134 6.1134 6.1134
angles: 60.00 60.00 60.00
With the nearest neighbours (Å) after each atom.
Element x y z (fractional)
Rb 0.0000 0.0000 0.0000  12 Ag 3.58, 4 Rb 3.74
Rb 0.2500 0.2500 0.2500  12 Ag 3.58, 4 Rb 3.74
Ag 0.1250 0.6250 0.6250  6 Ag 3.06
Ag 0.6250 0.1250 0.6250  6 Ag 3.06
Ag 0.6250 0.6250 0.6250  6 Ag 3.06
Ag 0.6250 0.6250 0.1250  6 Ag 3.06